P.
First-principles (GGA-PBE) data for BiPI2N after structural relaxation, as listed in Alexandria.

The calculation puts the volume at 137.3 Å³/cell. Its symmetry is P4/mmm (123). The value obtained for the calculated density is 6.14 g/cm3.

a = 6.3903 Å, b = 6.3903 Å, c = 3.3617 Å
α = 90.00°, β = 90.00°, γ = 90.00°
Fractional positions:
I 0.0000 0.5000 0.0000
P 0.0000 0.0000 0.0000
I 0.5000 0.0000 0.0000
N 0.0000 0.0000 0.5000
Bi 0.5000 0.5000 0.5000

Q.
First-principles (GGA-PBE) data for BiPI2N after structural relaxation, as listed in Alexandria.

The calculation puts the volume at 171.1 Å³/cell. Its symmetry is P4/mmm (123). The value obtained for the calculated density is 4.93 g/cm3.

a = 6.3483 Å, b = 6.3483 Å, c = 4.2451 Å
α = 90.00°, β = 90.00°, γ = 90.00°
Last column: magnetic moment on the atom in μB.
Fractional positions:
I 0.5000 0.0000 0.0000  0.01
I 0.0000 0.5000 0.0000  0.01
N 0.0000 0.0000 0.5000  0.03
Bi 0.0000 0.0000 0.0000  0.00
P 0.5000 0.5000 0.5000  0.95

Which structure loses on stability? Q does.

P.
First-principles (GGA-PBE) data for BiPbI2N after structural relaxation, as listed in Alexandria.

The calculation puts the volume at 173.8 Å³/cell. Its symmetry is P4/mmm (123). The value obtained for the calculated density is 6.54 g/cm3.

a = 6.4095 Å, b = 6.4095 Å, c = 4.2305 Å
α = 90.00°, β = 90.00°, γ = 90.00°
Fractional positions:
I 0.5000 0.0000 0.0000
Pb 0.5000 0.5000 0.5000
N 0.0000 0.0000 0.5000
Bi 0.0000 0.0000 0.0000
I 0.0000 0.5000 0.0000

Q.
First-principles (GGA-PBE) data for BiPbI2N after structural relaxation, as listed in Alexandria.

The calculation puts the volume at 165.8 Å³/cell. Its symmetry is P4/mmm (123). The value obtained for the calculated density is 6.85 g/cm3.

a = 6.3634 Å, b = 6.3634 Å, c = 4.0952 Å
α = 90.00°, β = 90.00°, γ = 90.00°
Last column: magnetic moment on the atom in μB.
Fractional positions:
I 0.0000 0.5000 0.0000  0.01
I 0.5000 0.0000 0.0000  0.01
N 0.0000 0.0000 0.5000  0.15
Bi 0.5000 0.5000 0.5000  -0.04
Pb 0.0000 0.0000 0.0000  -0.01

Which structure loses on stability? Q does.

P.
First-principles (GGA-PBE) data for BiPtIN2 after structural relaxation, as listed in Alexandria.

The calculation puts the volume at 101.2 Å³/cell. Its symmetry is P4/mmm (123). The value obtained for the calculated density is 9.17 g/cm3.

a = 4.2694 Å, b = 4.2694 Å, c = 5.5536 Å
α = 90.00°, β = 90.00°, γ = 90.00°
Last column: magnetic moment on the atom in μB.
Fractional positions:
N 0.5000 0.0000 0.0000  0.82
I 0.0000 0.0000 0.5000  0.01
Pt 0.0000 0.0000 0.0000  0.42
Bi 0.5000 0.5000 0.5000  -0.31
N 0.0000 0.5000 0.0000  0.82

Q.
First-principles (GGA-PBE) data for BiPtIN2 after structural relaxation, as listed in Alexandria.

The calculation puts the volume at 129.4 Å³/cell. Its symmetry is P4/mmm (123). The value obtained for the calculated density is 7.17 g/cm3.

a = 4.1788 Å, b = 4.1788 Å, c = 7.4117 Å
α = 90.00°, β = 90.00°, γ = 90.00°
Last column: magnetic moment on the atom in μB.
Fractional positions:
N 0.5000 0.0000 0.0000  0.55
Pt 0.5000 0.5000 0.5000  0.18
N 0.0000 0.5000 0.0000  0.55
Bi 0.0000 0.0000 0.0000  -0.09
I 0.0000 0.0000 0.5000  0.00

Which structure loses on stability? Q does.

P.
First-principles (GGA-PBE) data for RbBiIN2 after structural relaxation, as listed in Alexandria.

The calculation puts the volume at 146.5 Å³/cell. Its symmetry is P4/mmm (123). The value obtained for the calculated density is 5.09 g/cm3.

a = 4.6759 Å, b = 4.6759 Å, c = 6.7012 Å
α = 90.00°, β = 90.00°, γ = 90.00°
Last column: magnetic moment on the atom in μB.
Fractional positions:
Bi 0.0000 0.0000 0.0000  -0.12
N 0.5000 0.0000 0.0000  0.72
N 0.0000 0.5000 0.0000  0.72
I 0.0000 0.0000 0.5000  -0.01
Rb 0.5000 0.5000 0.5000  0.00

Q.
First-principles (GGA-PBE) data for RbBiIN2 after structural relaxation, as listed in Alexandria.

The calculation puts the volume at 205.7 Å³/cell. Its symmetry is P4/mmm (123). The value obtained for the calculated density is 3.63 g/cm3.

a = 5.3435 Å, b = 5.3435 Å, c = 7.2047 Å
α = 90.00°, β = 90.00°, γ = 90.00°
Last column: magnetic moment on the atom in μB.
Fractional positions:
N 0.0000 0.5000 0.0000  1.61
Rb 0.0000 0.0000 0.0000  0.07
N 0.5000 0.0000 0.0000  1.61
Bi 0.5000 0.5000 0.5000  -1.08
I 0.0000 0.0000 0.5000  -0.01

Which structure loses on stability? Q does.